Entry 1:
First-principles (PBE) data for a relaxed Pt4WSe crystal, as listed in the Alexandria database.

Properties
- Crystal system: cubic
- Calculated total energy: -6.259 eV per atom

Lattice parameters (Å, degrees): 5.2606 5.2606 5.2606 60.00 60.00 60.00
Closest atoms and distances in Å follow each position.
Sites, in units of the cell vectors:
Pt 0.3746 0.3746 0.8763  6 Pt 2.62-2.64
Pt 0.8763 0.3746 0.3746  6 Pt 2.62-2.64
Pt 0.3746 0.3746 0.3746  6 Pt 2.62-2.64
Pt 0.3746 0.8763 0.3746  6 Pt 2.62-2.64
W 0.0000 0.0000 0.0000  12 Pt 3.08, 4 Se 3.22
Se 0.7500 0.7500 0.7500  12 Pt 3.09, 4 W 3.22



Entry 2:
First-principles (PBE) data for a relaxed SmY2ZnN crystal, as listed in the Alexandria database.

Properties
- Crystal system: tetragonal
- Calculated total energy: -6.210 eV per atom

Lattice parameters (Å, degrees): 4.7783 4.7783 4.9301 90.00 90.00 90.00
Closest atoms and distances in Å follow each position.
Sites, in units of the cell vectors:
Y 0.0000 0.5000 0.9999  2 N 2.39
Y 0.5000 0.0000 0.9999  2 N 2.39
Zn 0.5000 0.5000 0.5003  4 Sm 3.38, 8 Y 3.43
N 0.0000 0.0000 0.9999  4 Y 2.39, 2 Sm 2.47
Sm 0.0000 0.0000 0.5000  2 N 2.47



Number 1: formation energy (no corrections) 0.51 eV per atom. Number 2: formation energy (no corrections) -0.76 eV per atom.